An optimized crystal structure of Pd2W, computed with PBE.

- Space group: Fd-3m, No. 227
- E_tot: -0.2694 hartree per atom
- M_tot: 0.001 μB per atom
- E_form: 440.1 meV/atom

Geometry as POSCAR:
```
Pd2W
1.0
0.000 3.602 3.602
3.602 0.000 3.602
3.602 3.602 0.000
Pd W
4 2
Cartesian
0.000 0.000 0.000
1.801 1.801 0.000
1.801 0.000 1.801
0.000 1.801 1.801
2.702 2.702 2.702
4.503 4.503 4.503
```



An optimized crystal structure of BeIrAu2, computed with PBE.

- Space group: F-43m, No. 216
- E_tot: -0.1656 hartree per atom
- M_tot: 0.001 μB per atom

Geometry as POSCAR:
```
BeIrAu2
1.0
6.247 0.000 0.000
0.000 6.247 0.000
0.000 0.000 6.247
Be Ir Au
4 4 8
Cartesian
0.000 0.000 0.000
0.000 3.123 3.123
3.123 0.000 3.123
3.123 3.123 0.000
1.562 1.562 1.562
1.562 4.685 4.685
4.685 1.562 4.685
4.685 4.685 1.562
0.000 0.000 3.123
0.000 3.123 0.000
1.562 1.562 4.685
1.562 4.685 1.562
3.123 0.000 0.000
3.123 3.123 3.123
4.685 1.562 1.562
4.685 4.685 4.685
```



An optimized crystal structure of UTcTe, computed with PBE.

- Space group: F-43m, No. 216
- E_tot: -0.2769 hartree per atom
- M_tot: 0.448 μB per atom
- Distance to the lowest polymorph of the same formula: 105.4 meV/atom

Geometry as POSCAR:
```
UTcTe
1.0
6.727 0.000 0.000
0.000 6.727 0.000
0.000 0.000 6.727
U Tc Te
4 4 4
Cartesian
0.000 0.000 0.000
0.000 3.363 3.363
3.363 0.000 3.363
3.363 3.363 0.000
1.682 1.682 5.045
1.682 5.045 1.682
5.045 1.682 1.682
5.045 5.045 5.045
1.682 1.682 1.682
1.682 5.045 5.045
5.045 1.682 5.045
5.045 5.045 1.682
```



An optimized crystal structure of NdHo3Pt4, computed with PBE.

- Space group: Pm, No. 6
- E_tot: -0.2424 hartree per atom
- M_tot: 0.000 μB per atom
- E_form: -1257.4 meV/atom

Geometry as POSCAR:
```
NdHo3Pt4
1.0
5.589 0.000 0.000
0.000 4.521 0.000
-0.088 0.000 7.082
Nd Ho Pt
1 3 4
Cartesian
0.000 0.000 0.000
1.171 0.000 3.534
2.775 2.261 0.970
3.944 2.261 4.484
0.058 2.261 2.020
1.091 2.261 5.397
2.788 0.000 6.062
3.863 0.000 2.593
```



Question: M_tot of number 1 (Pd2W)?
Answer: 0.001 μB per atom